No. 1
Compound: Y3SiAg
Source: the Alexandria database
Functional: GGA-PBE
Structure: relaxed

```
Y3SiAg
1.0
5.386 0.000 0.000
0.000 5.386 0.000
0.000 0.000 5.386
Y Si Ag
3 1 1
Cartesian
0.000 2.693 0.000 Y
0.000 0.000 2.693 Y
2.693 0.000 0.000 Y
0.000 0.000 0.000 Si
2.693 2.693 2.693 Ag
```

Computed properties:
VASP energy = -5.54 eV per atom
Energy above the lowest structure with this stoichiometry = 0.000 eV per atom
Space-group type = No. 221
Formation energy without anion corrections = -0.02 eV per formula unit

***

No. 2
Compound: Ti3V2As3
Source: the Alexandria database
Functional: GGA-PBE
Structure: relaxed

```
Ti3V2As3
1.0
5.070 0.000 0.000
0.000 6.430 -3.713
0.000 0.000 7.425
Ti V As
6 4 6
Cartesian
3.802 1.650 -0.952 Ti
3.802 4.781 2.760 Ti
3.802 0.000 1.905 Ti
1.267 4.781 -2.760 Ti
1.267 1.650 0.952 Ti
1.267 0.000 5.520 Ti
0.000 2.143 3.713 V
2.535 4.287 0.000 V
0.000 4.287 0.000 V
2.535 2.143 3.713 V
3.802 3.941 -2.275 As
3.802 2.489 1.437 As
3.802 0.000 4.551 As
1.267 2.489 -1.437 As
1.267 3.941 2.275 As
1.267 0.000 2.875 As
```

Computed properties:
VASP energy = -7.71 eV per atom
DFT formation energy = -726 meV/atom
Space-group type = No. 193

***

No. 3
Compound: NaTl2HgRh
Source: the Alexandria database
Functional: GGA-PBE
Structure: relaxed

```
NaTl2HgRh
1.0
5.272 0.000 0.000
0.000 5.272 0.000
0.000 0.000 5.478
Na Tl Rh Hg
1 2 1 1
Cartesian
0.000 0.000 2.739 Na
0.000 2.636 0.000 Tl
2.636 0.000 0.000 Tl
0.000 0.000 0.000 Rh
2.636 2.636 2.739 Hg
```

Computed properties:
VASP energy = -2.70 eV per atom
Energy above the lowest structure with this stoichiometry = 0.063 eV per atom
DFT formation energy = 36 meV/atom
Space-group type = No. 123

***

No. 4
Compound: KSbS
Source: the Alexandria database
Functional: GGA-PBE
Structure: relaxed

```
KSbS
1.0
-3.889 -3.944 -4.004
4.282 -0.862 -3.310
1.580 -3.151 7.402
K Sb S
2 2 2
Cartesian
-1.411 -3.640 -0.877 K
3.384 -4.317 0.965 K
-0.669 -3.280 -4.548 Sb
1.061 -1.526 -2.767 Sb
2.576 -1.792 -0.738 S
-0.604 -6.165 0.825 S
```

Computed properties:
VASP energy = -3.46 eV per atom
Space-group type = No. 71
Formation energy without anion corrections = -1.02 eV per formula unit